Record 1
Compound: FeCu2Pt
Source: Alexandria
Functional: meta-GGA SCAN
Structure: single point on PBEsol structure

a b c (Å): 2.6455 3.6321 5.1712
angles (deg): 90.00 90.00 90.00
With the nearest neighbours (Å) after each atom.
Element x y z (fractional)
Cu 0.5000 0.0000 0.0149  2 Fe 2.50-2.67, 6 Cu 2.54-2.65, 4 Pt 2.65
Cu 0.0000 0.5000 0.2442  6 Cu 2.54-2.65, 2 Pt 2.58-2.59, 4 Fe 2.60
Fe 0.5000 0.0000 0.4981  6 Cu 2.50-2.67, 4 Pt 2.58, 2 Fe 2.65
Pt 0.0000 0.5000 0.7429  4 Fe 2.58, 6 Cu 2.58-2.65, 2 Pt 2.65

Summary:
DOS at the Fermi energy = 2.1 states/eV/cell
space-group type = Pmm2 (25)
total DFT energy (no corrections) = -119.35 eV per cell
E_form = -61 kJ/mol of formula units
magnetization = 3.57 μB/f.u.

=====

Record 2
Compound: NbSiAg2C
Source: Alexandria
Functional: meta-GGA SCAN
Structure: single point on PBEsol structure

a b c (Å): 4.1398 4.1398 4.3754
angles (deg): 90.00 90.00 90.00
With the nearest neighbours (Å) after each atom.
Element x y z (fractional)
Ag 0.0000 0.5000 0.0000  2 C 2.07
Ag 0.5000 0.0000 0.0000  2 C 2.07
C 0.0000 0.0000 0.0000  4 Ag 2.07, 2 Nb 2.19
Si 0.5000 0.5000 0.5000  4 Nb 2.93, 8 Ag 3.01
Nb 0.0000 0.0000 0.5000  2 C 2.19

Summary:
DOS at the Fermi energy = 1.9 states/eV/cell
space-group type = P4/mmm (123)
total DFT energy (no corrections) = -113.02 eV per cell
ΔE_f (raw) = 0.592 eV per atom
magnetization = 0.00 μB/f.u.

=====

Record 3
Compound: RbVH4O2F4
Source: Alexandria
Functional: meta-GGA SCAN
Structure: single point on PBEsol structure

a b c (Å): 6.2458 6.7013 8.0681
angles (deg): 74.94 67.23 62.22
With the nearest neighbours (Å) after each atom.
Element x y z (fractional)
F 0.2490 0.8094 0.0211  1 H 1.50
F 0.0794 0.6906 0.4789  1 H 1.50
F 0.2876 0.8978 0.5819  1 H 1.51
F 0.9206 0.3094 0.5211  1 H 1.50
F 0.2328 0.3978 0.0819  1 H 1.51
F 0.7672 0.6022 0.9181  1 H 1.51
F 0.7124 0.1022 0.4181  1 H 1.51
F 0.7510 0.1906 0.9789  1 H 1.50
O 0.5015 0.5215 0.7437  2 H 1.01-1.02
O 0.7667 0.9785 0.7563  2 H 1.01-1.02
O 0.2333 0.0215 0.2437  2 H 1.01-1.02
O 0.4985 0.4785 0.2563  2 H 1.01-1.02
Rb 0.2237 0.2500 0.7500  6 F 2.82-3.11, 2 O 3.02
Rb 0.7763 0.7500 0.2500  6 F 2.82-3.11, 2 O 3.02
V 0.0000 0.0000 0.5000  4 F 1.92-1.93, 2 O 2.03
V 0.5000 0.5000 0.0000  4 F 1.92-1.93, 2 O 2.03
H 0.4097 0.6763 0.6853  1 O 1.01
H 0.6725 0.4408 0.6525  1 O 1.02
H 0.2287 0.1763 0.1853  1 O 1.01
H 0.7713 0.8237 0.8147  1 O 1.01
H 0.7658 0.0592 0.8475  1 O 1.02
H 0.2342 0.9408 0.1525  1 O 1.02
H 0.3275 0.5592 0.3475  1 O 1.02
H 0.5903 0.3237 0.3147  1 O 1.01

Summary:
space-group type = C2/c (15)
total DFT energy (no corrections) = -209.12 eV per cell
magnetization = 2.00 μB/f.u.

=====

Record 4
Compound: Cs3CeCl6
Source: Alexandria
Functional: meta-GGA SCAN
Structure: single point on PBEsol structure

a b c (Å): 8.3769 8.3769 8.3769
angles (deg): 60.00 60.00 60.00
With the nearest neighbours (Å) after each atom.
Element x y z (fractional)
Cs 0.7500 0.7500 0.7500  12 Cl 4.20
Cs 0.2500 0.2500 0.2500  12 Cl 4.20
Cs 0.5000 0.5000 0.5000  6 Cl 3.21
Cl 0.2292 0.7708 0.7708  1 Ce 2.71
Cl 0.7708 0.2292 0.7708  1 Ce 2.71
Cl 0.7708 0.2292 0.2292  1 Ce 2.71
Cl 0.7708 0.7708 0.2292  1 Ce 2.71
Cl 0.2292 0.7708 0.2292  1 Ce 2.71
Cl 0.2292 0.2292 0.7708  1 Ce 2.71
Ce 0.0000 0.0000 0.0000  6 Cl 2.71

Summary:
DOS at the Fermi energy = 8.3 states/eV/cell
space-group type = Fm-3m (225)
total DFT energy (no corrections) = -228.76 eV per cell
ΔE_f (raw) = -2.289 eV per atom
magnetization = 1.00 μB/f.u.

=====

Record 5
Compound: SbHPd3
Source: Alexandria
Functional: meta-GGA SCAN
Structure: single point on PBEsol structure

a b c (Å): 4.0475 4.0475 4.0475
angles (deg): 90.00 90.00 90.00
With the nearest neighbours (Å) after each atom.
Element x y z (fractional)
Pd 0.5000 0.0000 0.0000  2 H 2.02
Pd 0.0000 0.5000 0.0000  2 H 2.02
Pd 0.0000 0.0000 0.5000  2 H 2.02
Sb 0.5000 0.5000 0.5000  12 Pd 2.86
H 0.0000 0.0000 0.0000  6 Pd 2.02

Summary:
DOS at the Fermi energy = 3.2 states/eV/cell
space-group type = Pm-3m (221)
total DFT energy (no corrections) = -140.36 eV per cell
magnetization = 0.00 μB/f.u.

=====

Record 6
Compound: HfTc3Sn
Source: Alexandria
Functional: meta-GGA SCAN
Structure: single point on PBEsol structure

a b c (Å): 4.7082 4.7082 4.7082
angles (deg): 90.00 90.00 90.00
With the nearest neighbours (Å) after each atom.
Element x y z (fractional)
Sn 0.5000 0.5000 0.5000  12 Tc 3.33
Hf 0.0000 0.0000 0.0000  6 Tc 2.35
Tc 0.0000 0.0000 0.5000  2 Hf 2.35
Tc 0.0000 0.5000 0.0000  2 Hf 2.35
Tc 0.5000 0.0000 0.0000  2 Hf 2.35

Summary:
DOS at the Fermi energy = 3.4 states/eV/cell
space-group type = Pm-3m (221)
total DFT energy (no corrections) = -195.60 eV per cell
E_form = 788 kJ/mol of formula units
magnetization = 3.57 μB/f.u.

=====

Record 7
Compound: Nd7Al7Co6
Source: Alexandria
Functional: meta-GGA SCAN
Structure: single point on PBEsol structure

a b c (Å): 4.1364 13.6092 13.6092
angles (deg): 90.00 90.00 90.00
With the nearest neighbours (Å) after each atom.
Element x y z (fractional)
Al 0.0000 0.0000 0.5000  4 Co 2.51
Al 0.5000 0.2143 0.2857  5 Co 2.64-2.71, 2 Al 2.77
Al 0.5000 0.3619 0.5973  2 Co 2.47, 1 Al 2.77
Al 0.5000 0.7143 0.2143  5 Co 2.64-2.71, 2 Al 2.77
Al 0.5000 0.8619 0.9027  2 Co 2.47, 1 Al 2.77
Al 0.5000 0.6381 0.4027  2 Co 2.47, 1 Al 2.77
Al 0.5000 0.0973 0.8619  2 Co 2.47, 1 Al 2.77
Al 0.5000 0.9027 0.1381  2 Co 2.47, 1 Al 2.77
Al 0.5000 0.4027 0.3619  2 Co 2.47, 1 Al 2.77
Al 0.5000 0.2857 0.7857  5 Co 2.64-2.71, 2 Al 2.77
Al 0.0000 0.5000 0.0000  4 Co 2.51
Al 0.5000 0.1381 0.0973  2 Co 2.47, 1 Al 2.77
Al 0.5000 0.5973 0.6381  2 Co 2.47, 1 Al 2.77
Al 0.5000 0.7857 0.7143  5 Co 2.64-2.71, 2 Al 2.77
Nd 0.0000 0.5000 0.5000  8 Al 3.09
Nd 0.0000 0.2378 0.4526  1 Co 2.60
Nd 0.0000 0.7622 0.5474  1 Co 2.60
Nd 0.0000 0.0000 0.0000  8 Al 3.09
Nd 0.0000 0.0474 0.2622  1 Co 2.60
Nd 0.0000 0.4526 0.7622  1 Co 2.60
Nd 0.5000 0.8691 0.3691  6 Co 2.89-3.02, 3 Al 2.98-3.18
Nd 0.0000 0.7378 0.0474  1 Co 2.60
Nd 0.5000 0.6309 0.8691  6 Co 2.89-3.02, 3 Al 2.98-3.18
Nd 0.5000 0.3691 0.1309  6 Co 2.89-3.02, 3 Al 2.98-3.18
Nd 0.0000 0.2622 0.9526  1 Co 2.60
Nd 0.0000 0.9526 0.7378  1 Co 2.60
Nd 0.5000 0.1309 0.6309  6 Co 2.89-3.02, 3 Al 2.98-3.18
Nd 0.0000 0.5474 0.2378  1 Co 2.60
Co 0.0000 0.1647 0.7886  1 Co 2.38, 4 Al 2.47-2.64, 1 Nd 2.60
Co 0.5000 0.0735 0.4265  3 Al 2.51-2.71
Co 0.0000 0.8353 0.2114  1 Co 2.38, 4 Al 2.47-2.64, 1 Nd 2.60
Co 0.0000 0.7114 0.3353  1 Co 2.38, 4 Al 2.47-2.64, 1 Nd 2.60
Co 0.0000 0.7886 0.8353  1 Co 2.38, 4 Al 2.47-2.64, 1 Nd 2.60
Co 0.0000 0.2114 0.1647  1 Co 2.38, 4 Al 2.47-2.64, 1 Nd 2.60
Co 0.5000 0.9265 0.5735  3 Al 2.51-2.71
Co 0.0000 0.3353 0.2886  1 Co 2.38, 4 Al 2.47-2.64, 1 Nd 2.60
Co 0.0000 0.6647 0.7114  1 Co 2.38, 4 Al 2.47-2.64, 1 Nd 2.60
Co 0.5000 0.5735 0.0735  3 Al 2.51-2.71
Co 0.0000 0.2886 0.6647  1 Co 2.38, 4 Al 2.47-2.64, 1 Nd 2.60
Co 0.5000 0.4265 0.9265  3 Al 2.51-2.71

Summary:
DOS at the Fermi energy = 18.0 states/eV/cell
space-group type = P4/mbm (127)
total DFT energy (no corrections) = -939.53 eV per cell
E_form = -637 kJ/mol of formula units
magnetization = 0.00 μB/f.u.

=====

Record 8
Compound: IrOsBr2
Source: Alexandria
Functional: meta-GGA SCAN
Structure: single point on PBEsol structure

a b c (Å): 3.0113 3.0113 8.4131
angles (deg): 90.00 90.00 90.00
With the nearest neighbours (Å) after each atom.
Element x y z (fractional)
Br 0.0000 0.0000 0.9330  4 Os 2.81, 4 Br 3.01
Br 0.5000 0.5000 0.3142  4 Ir 2.84, 4 Br 3.01
Ir 0.0000 0.0000 0.5372  4 Os 2.61, 4 Br 2.84
Os 0.5000 0.5000 0.7156  4 Ir 2.61, 4 Br 2.81

Summary:
DOS at the Fermi energy = 3.1 states/eV/cell
relative energy among the computed polymorphs = 0.0 meV/atom
space-group type = P4mm (99)
total DFT energy (no corrections) = -179.05 eV per cell
ΔE_f (raw) = 0.711 eV per atom
magnetization = 0.00 μB/f.u.

=====

- Which value of total DFT energy (no corrections) does entry 2 give?
  -113.02 eV per cell